TmBeSi | PBE-GGA | relaxed

total moment = 0.00 μB/f.u.
final energy = -5.119 eV per atom
formation energy from raw total energies = -0.58 eV per atom

a = 3.844 Å, b = 5.508 Å, c = 5.509 Å
α = 91.44°, β = 110.38°, γ = 110.37°
Space group P-1 (No. 2)
Unique sites:
Tm: 0.000 0.246 0.254
Be: 0.342 0.342 0.842
Si: 0.322 0.822 0.321

---

Sr6Se2S3Cl | PBE-GGA | relaxed

total moment = 0.00 μB/f.u.
final energy = -4.657 eV per atom
formation energy from raw total energies = -2.05 eV per atom

a = 18.920 Å, b = 4.336 Å, c = 8.690 Å
α = 90.00°, β = 103.67°, γ = 90.00°
Space group C2/m (No. 12)
Unique sites:
Sr: 0.002 0.000 0.235
Sr: 0.165 0.500 0.087
Sr: 0.172 0.500 0.580
Se: 0.164 0.000 0.828
S: 0.000 0.500 0.000
S: 0.164 0.000 0.335
Cl: 0.000 0.500 0.500

---

LiNd2Co | PBE-GGA | relaxed

total moment = 0.00 μB/f.u.
formation energy from the elements = 0.15 eV/atom
final energy = -4.490 eV per atom

a = 3.8562 Å, b = 3.8562 Å, c = 30.0695 Å
α = 90.00°, β = 90.00°, γ = 120.00°
Space group R-3m (No. 166, hexagonal axes)
Unique sites:
Li: 0.0000 0.0000 0.0000
Nd: 0.0000 0.0000 0.1153
Co: 0.0000 0.0000 0.5000

---

NdMg16Al12 | PBE-GGA | relaxed

total moment = 0.00 μB/f.u.
offset from the most stable computed form = 0 meV/atom
formation energy from the elements = -0.07 eV/atom
final energy = -2.666 eV per atom

a = 10.577 Å, b = 10.577 Å, c = 10.577 Å
α = 90.00°, β = 90.00°, γ = 90.00°
Space group I-43m (No. 217)
Unique sites:
Nd: 0.000 0.000 0.000
Mg: 0.039 0.358 0.642
Mg: 0.181 0.181 0.181
Al: 0.092 0.092 0.721

---

Tl2CdBr | PBE-GGA | relaxed

total moment = 0.00 μB/f.u.
offset from the most stable computed form = 39 meV/atom
final energy = -2.086 eV per atom
formation energy from raw total energies = -0.26 eV per atom

a = 4.185 Å, b = 4.223 Å, c = 7.030 Å
α = 90.00°, β = 90.10°, γ = 90.00°
Space group P2/m (No. 10)
Unique sites:
Tl: 0.001 0.000 0.251
Cd: 0.500 0.500 0.000
Br: 0.500 0.500 0.500

---

InH2Pt2 | PBE-GGA | relaxed

total moment = 0.00 μB/f.u.
offset from the most stable computed form = 60 meV/atom
final energy = -4.347 eV per atom

a = 3.497 Å, b = 3.497 Å, c = 9.605 Å
α = 90.00°, β = 90.00°, γ = 90.00°
Space group I4/mmm (No. 139)
Unique sites:
In: 0.000 0.000 0.000
H: 0.000 0.500 0.250
Pt: 0.000 0.000 0.348